# 1
First-principles (GGA-PBE) data for an optimized crystal structure of Cs2CaRe, as listed in Alexandria via LeMat-Bulk.

Cell and atoms, written as extended XYZ:
```
8
Lattice="4.161 -8.308 -3.061 1.432 8.657 4.325 -4.438 -4.070 7.709" Properties=species:S:1:pos:R:3 pbc="T T T"
Cs -0.024 2.478 2.683
Cs 0.837 -1.147 6.401
Cs 0.350 5.996 6.581
Cs -1.585 2.196 9.667
Re -0.105 2.381 6.333
Re 0.000 0.000 0.000
Ca 2.796 0.175 0.632
Ca 1.259 -6.102 2.640
```

## Properties
symmetry	I-42d
total DFT energy (no corrections)	-21.05	eV for the cell shown



# 2
First-principles (GGA-PBE) data for an optimized crystal structure of YCdCl2, as listed in Alexandria via LeMat-Bulk.

Cell and atoms, written as extended XYZ:
```
4
Lattice="3.695 0.000 0.000 0.000 5.642 0.000 0.000 0.000 4.563" Properties=species:S:1:pos:R:3 pbc="T T T"
Cd 0.000 2.821 2.282
Cl 0.000 0.000 0.000
Cl 1.848 2.821 0.000
Y 1.848 0.000 2.282
```

## Properties
symmetry	Pmmm
energy relative to the elements, uncorrected	-90.12	kJ per mole of atoms
ΔE to the lowest computed polymorph	373	meV/atom



# 3
First-principles (GGA-PBE) data for an optimized crystal structure of Ca2BeTl, as listed in Alexandria via LeMat-Bulk.

Cell and atoms, written as extended XYZ:
```
4
Lattice="-2.837 -4.598 -1.983 3.461 -4.597 0.022 -1.290 3.876 4.054" Properties=species:S:1:pos:R:3 pbc="T T T"
Ca 1.242 -2.660 1.548
Ca 0.000 0.000 0.000
Be -1.908 -2.660 0.545
Tl 0.312 -4.598 -0.980
```

## Properties
symmetry	I-4m2
ΔE to the lowest computed polymorph	218	meV/atom



# 4
First-principles (GGA-PBE) data for an optimized crystal structure of YGa2PRh, as listed in Alexandria via LeMat-Bulk.

Cell and atoms, written as extended XYZ:
```
5
Lattice="-1.485 3.827 -2.185 -4.872 -0.674 2.130 1.246 2.576 3.665" Properties=species:S:1:pos:R:3 pbc="T T T"
P -2.555 2.865 1.805
Ga 0.623 1.288 1.833
Ga -0.742 1.913 -1.092
Rh 0.000 0.000 0.000
Y -2.436 -0.337 1.065
```

## Properties
symmetry	P4/mmm
total DFT energy (no corrections)	-26.83	eV for the cell shown